1.
PBE ZrTa2AlH, optimized geometry; size of the total moment = 0.0 μB/f.u.; polymorph energy (0 for the lowest one) = 1092 meV/atom; theoretical density = 9.10 g/cm³; symmetry = P4/mmm; crystal system = tetragonal
1.0
5.263 0.000 0.000
0.000 3.169 0.000
0.000 0.000 5.263
H Al Ta Zr
1 1 2 1
direct
0.000 0.500 0.000
0.000 0.000 0.000
0.500 0.000 0.000
0.000 0.000 0.500
0.500 0.500 0.500

2.
PBE AlHg3F, optimized geometry; size of the total moment = 0.0 μB/f.u.; polymorph energy (0 for the lowest one) = 218 meV/atom; theoretical density = 7.98 g/cm³; symmetry = Pm-3m; raw formation energy = -1 kJ per mole of atoms; crystal system = cubic
1.0
5.127 0.000 0.000
0.000 5.127 0.000
0.000 0.000 5.127
Al Hg F
1 3 1
direct
0.500 0.500 0.500
0.000 0.000 0.500
0.500 0.000 0.000
0.000 0.500 0.000
0.000 0.000 0.000

3.
PBE Nb2TePd, optimized geometry; size of the total moment = 0.0 μB/f.u.; theoretical density = 6.35 g/cm³; symmetry = I-42d; raw formation energy = 72 kJ per mole of atoms; crystal system = tetragonal
1.0
6.101 0.000 0.000
0.000 6.101 0.000
3.051 3.051 5.896
Nb Pd Te
4 2 2
direct
0.875 0.838 0.750
0.162 0.625 0.250
0.375 0.412 0.750
0.588 0.125 0.250
0.250 0.750 0.500
0.500 0.500 0.000
0.000 0.000 0.000
0.750 0.250 0.500

4.
PBE GaH2Pb, optimized geometry; size of the total moment = 0.0 μB/f.u.; polymorph energy (0 for the lowest one) = 263 meV/atom; theoretical density = 7.91 g/cm³; symmetry = Fm-3m; crystal system = cubic
1.0
-3.169 1.002 2.821
-1.174 4.159 0.572
-3.861 1.396 -1.465
Pb H Ga
1 2 1
direct
0.500 0.500 0.500
0.250 0.250 0.250
0.750 0.750 0.750
0.000 0.000 0.000

5.
PBE Li6AcAg12, optimized geometry; size of the total moment = 0.0 μB/f.u.; theoretical density = 7.29 g/cm³; calculated formation energy = -0.07 eV per atom; symmetry = R-3m; crystal system = trigonal
1.0
-5.300 1.999 4.804
4.018 -5.143 3.545
4.456 5.915 -0.574
Ag Li Ac
12 6 1
direct
0.500 0.882 0.118
0.118 0.500 0.882
0.852 0.596 0.596
0.118 0.882 0.500
0.404 0.148 0.404
0.882 0.500 0.118
0.882 0.118 0.500
0.148 0.404 0.404
0.404 0.404 0.148
0.500 0.118 0.882
0.596 0.596 0.852
0.596 0.852 0.596
0.293 0.729 0.729
0.707 0.271 0.271
0.729 0.293 0.729
0.271 0.707 0.271
0.271 0.271 0.707
0.729 0.729 0.293
0.000 0.000 0.000

6.
PBE CsCd2CI, optimized geometry; size of the total moment = 2.6 μB/f.u.; theoretical density = 2.64 g/cm³; symmetry = P4/mmm; raw formation energy = 119 kJ per mole of atoms; crystal system = tetragonal
1.0
-3.938 4.881 -1.380
-4.084 -4.556 -4.462
-3.706 -1.576 5.001
Cd Cs C I
2 1 1 1
direct
0.500 0.000 0.000
0.000 0.000 0.500
0.000 0.500 0.000
0.500 0.500 0.500
0.000 0.000 0.000